Below is crystalline Tm3Se3O at its relaxed geometry, with properties calculated at the PBE-GGA level.

a b c (Å): 5.6283 8.6348 8.6348
angles (deg): 119.93 90.00 90.00
With the nearest neighbours (Å) after each atom.
Positions (direct):
Tm 0.7500 0.6184 0.8088  1 O 2.13
Tm 0.7500 0.1904 0.3816  1 O 2.13
Tm 0.7500 0.1908 0.8099  1 O 2.13
Tm 0.2500 0.3816 0.1912  1 O 2.13
Tm 0.2500 0.8096 0.6184  1 O 2.13
Tm 0.2500 0.8092 0.1901  1 O 2.13
Se 0.2500 0.6361 0.8177  4 Tm 2.79-2.82
Se 0.2500 0.1815 0.3638  4 Tm 2.79-2.82
Se 0.2500 0.1818 0.8190  4 Tm 2.79-2.82
Se 0.7500 0.3639 0.1823  4 Tm 2.79-2.82
Se 0.7500 0.8185 0.6362  4 Tm 2.79-2.82
Se 0.7500 0.8182 0.1810  4 Tm 2.79-2.82
O 0.7500 0.3332 0.6668  3 Tm 2.13
O 0.2500 0.6668 0.3332  3 Tm 2.13

Values from the calculation:
**Formation energy (no corrections)**: -2084 meV per atom
**Volume**: 363.7 Å³/cell